# Pb3Au, optimized geometry, DFT GGA-PBEsol
data_Pb3Au
_cell_length_a 4.697
_cell_length_b 4.697
_cell_length_c 4.697
_cell_angle_alpha 90.00
_cell_angle_beta 90.00
_cell_angle_gamma 90.00
_space_group_name_H-M_alt 'P m -3 m'
_space_group_IT_number 221
_space_group_name_Hall '-P 4 2 3'
loop_
_atom_site_label
_atom_site_fract_x
_atom_site_fract_y
_atom_site_fract_z
Pb1 0.000 0.000 0.500
Au1 0.500 0.500 0.500
# crystal system: cubic
# energy of formation from the pure elements: 0.056 eV/atom
# uncorrected energy: -15.694 eV/cell



# PbAu4, optimized geometry, DFT GGA-PBEsol
data_PbAu4
_cell_length_a 3.893
_cell_length_b 3.893
_cell_length_c 13.530
_cell_angle_alpha 90.00
_cell_angle_beta 90.00
_cell_angle_gamma 90.00
_space_group_name_H-M_alt 'I 4/m m m'
_space_group_IT_number 139
_space_group_name_Hall '-I 4 2'
loop_
_atom_site_label
_atom_site_fract_x
_atom_site_fract_y
_atom_site_fract_z
Pb1 0.000 0.000 0.000
Au1 0.000 0.000 0.400
Au2 0.000 0.500 0.250
# crystal system: tetragonal
# energy of formation from the pure elements: 0.038 eV/atom
# uncorrected energy: -39.005 eV/cell